Model i:
! YCd3Ga (PBE, relaxed); values from VASP
&SYSTEM
  ibrav = 0, nat = 5, ntyp = 3
/
ATOMIC_SPECIES
Cd 112.41 Cd.upf
Ga 69.72 Ga.upf
Y 88.91 Y.upf
ATOMIC_POSITIONS crystal
Cd 0.000 0.000 0.500
Cd 0.000 0.500 0.000
Cd 0.500 0.000 0.000
Ga 0.000 0.000 0.000
Y 0.500 0.500 0.500
CELL_PARAMETERS angstrom
-4.880 1.417 0.361
-0.644 -3.213 3.901
1.312 3.691 3.257
! magnetic moment	0.00	μB/cell
! symmetry	No. 221
! theoretical density	6.227	Mg/m³



Model ii:
! YCd3Ga (PBE, relaxed); values from VASP
&SYSTEM
  ibrav = 0, nat = 5, ntyp = 3
/
ATOMIC_SPECIES
Cd 112.41 Cd.upf
Ga 69.72 Ga.upf
Y 88.91 Y.upf
ATOMIC_POSITIONS crystal
Cd 0.500 0.000 0.000
Cd 0.000 0.500 0.000
Cd 0.000 0.000 0.500
Ga 0.500 0.500 0.500
Y 0.000 0.000 0.000
CELL_PARAMETERS angstrom
-2.623 -4.623 -2.580
4.649 -3.389 1.346
-2.533 -1.433 5.142
! magnetic moment	0.00	μB/cell
! symmetry	No. 221
! theoretical density	3.992	Mg/m³



Which structure loses on stability? model ii does.



Model i:
! Y3CdGa (PBE, relaxed); values from VASP
&SYSTEM
  ibrav = 0, nat = 5, ntyp = 3
/
ATOMIC_SPECIES
Ga 69.72 Ga.upf
Y 88.91 Y.upf
Cd 112.41 Cd.upf
ATOMIC_POSITIONS crystal
Ga 0.000 0.000 0.000
Y 0.000 0.500 0.000
Y 0.000 0.000 0.500
Y 0.500 0.000 0.000
Cd 0.500 0.500 0.500
CELL_PARAMETERS angstrom
5.461 0.000 0.000
0.000 5.461 0.000
0.000 0.000 5.461
! magnetic moment	2.00	μB/cell
! symmetry	No. 221
! theoretical density	4.577	Mg/m³



Model ii:
! Y3CdGa (PBE, relaxed); values from VASP
&SYSTEM
  ibrav = 0, nat = 10, ntyp = 3
/
ATOMIC_SPECIES
Ga 69.72 Ga.upf
Y 88.91 Y.upf
Cd 112.41 Cd.upf
ATOMIC_POSITIONS crystal
Ga 0.483 0.750 0.682
Ga 0.165 0.250 0.318
Y 0.759 0.250 0.129
Y 0.390 0.250 0.868
Y 0.889 0.750 0.871
Y 0.258 0.750 0.132
Y 0.575 0.250 0.499
Y 0.074 0.750 0.501
Cd 0.982 0.250 0.685
Cd 0.667 0.750 0.315
CELL_PARAMETERS angstrom
4.992 0.000 1.141
0.000 5.118 0.000
0.237 0.000 10.454
! magnetic moment	0.00	μB/cell
! symmetry	No. 63
! theoretical density	5.611	Mg/m³



Which structure loses on stability? model i does.



Model i:
! ZnCdGa2 (PBE, relaxed); values from VASP
&SYSTEM
  ibrav = 0, nat = 8, ntyp = 3
/
ATOMIC_SPECIES
Zn 65.41 Zn.upf
Cd 112.41 Cd.upf
Ga 69.72 Ga.upf
ATOMIC_POSITIONS crystal
Zn 0.250 0.750 0.500
Zn 0.500 0.500 0.000
Cd 0.750 0.250 0.500
Cd 0.000 0.000 0.000
Ga 0.375 0.397 0.750
Ga 0.603 0.125 0.250
Ga 0.875 0.853 0.750
Ga 0.147 0.625 0.250
CELL_PARAMETERS angstrom
4.125 0.000 0.000
0.000 4.125 0.000
2.062 2.062 9.398
! magnetic moment	0.00	μB/cell
! symmetry	No. 122
! theoretical density	6.590	Mg/m³



Model ii:
! ZnCdGa2 (PBE, relaxed); values from VASP
&SYSTEM
  ibrav = 0, nat = 8, ntyp = 3
/
ATOMIC_SPECIES
Ga 69.72 Ga.upf
Zn 65.41 Zn.upf
Cd 112.41 Cd.upf
ATOMIC_POSITIONS crystal
Ga 0.333 0.667 0.114
Ga 0.667 0.333 0.614
Ga 0.333 0.667 0.386
Ga 0.667 0.333 0.886
Zn 0.000 0.000 0.000
Zn 0.000 0.000 0.500
Cd 0.667 0.333 0.250
Cd 0.333 0.667 0.750
CELL_PARAMETERS angstrom
-2.609 -0.164 1.555
0.404 -1.718 -2.477
7.318 -13.870 10.813
! magnetic moment	0.00	μB/cell
! symmetry	No. 194
! theoretical density	6.905	Mg/m³



Model iii:
! ZnCdGa2 (PBE, relaxed); values from VASP
&SYSTEM
  ibrav = 0, nat = 4, ntyp = 3
/
ATOMIC_SPECIES
Ga 69.72 Ga.upf
Zn 65.41 Zn.upf
Cd 112.41 Cd.upf
ATOMIC_POSITIONS crystal
Ga 0.750 0.750 0.750
Ga 0.250 0.250 0.250
Zn 0.000 0.000 0.000
Cd 0.500 0.500 0.500
CELL_PARAMETERS angstrom
1.692 1.890 4.091
-3.043 1.880 3.222
-0.764 -2.249 4.187
! magnetic moment	0.00	μB/cell
! symmetry	No. 225
! theoretical density	6.679	Mg/m³



Model iv:
! ZnCdGa2 (PBE, relaxed); values from VASP
&SYSTEM
  ibrav = 0, nat = 4, ntyp = 3
/
ATOMIC_SPECIES
Cd 112.41 Cd.upf
Zn 65.41 Zn.upf
Ga 69.72 Ga.upf
ATOMIC_POSITIONS crystal
Cd 0.000 0.000 0.000
Zn 0.500 0.500 0.500
Ga 0.095 0.095 0.714
Ga 0.905 0.905 0.286
CELL_PARAMETERS angstrom
3.058 0.000 0.000
1.529 2.648 0.000
1.529 0.883 9.804
! magnetic moment	0.00	μB/cell
! symmetry	No. 166
! theoretical density	6.636	Mg/m³



Which structure loses on stability? model iii does.